The following is a PBE calculation of crystalline CaNd2As at its relaxed geometry, from Alexandria via LeMat-Bulk.

a b c (Å): 4.086 4.086 10.217
angles (deg): 78.46 78.46 60.00
Atoms (fractional coordinates):
Nd 0.276 0.276 0.173
Nd 0.724 0.724 0.827
As 0.000 0.000 0.000
Ca 0.500 0.500 0.500

Computed properties:
- Uncorrected energy: -4.68 eV/atom
- Space-group type: No. 166
- Energy of formation from the pure elements: -635 meV per atom